A relaxed Zr12TlZn3 crystal, computed with GGA-PBE.

Results
Fermi-level density of states: 0.90 states/eV/atom
calculated volume: 339 Å³/cell
ΔE_f: -0.13 eV per atom

Cell: 4.3923 4.3923 17.5604 Å, 90.00 90.00 90.00°
With the nearest neighbours (Å) after each atom.
Space group P4/mmm (No. 123)
Unique sites:
Zr  0.0000  0.0000  0.0000 (multiplicity 1)  8 Zr 3.08, 4 Zn 3.11
Zr  0.0000  0.0000  0.2460 (multiplicity 2)  8 Zr 3.08, 4 Zn 3.11
Zr  0.0000  0.0000  0.5000 (multiplicity 1)  4 Tl 3.11, 8 Zr 3.18
Zr  0.0000  0.5000  0.1232 (multiplicity 4)  4 Zn 3.08, 8 Zr 3.08-3.11
Zr  0.0000  0.5000  0.3689 (multiplicity 4)  8 Zr 3.08-3.18, 2 Zn 3.08, 2 Tl 3.18
Tl  0.5000  0.5000  0.5000 (multiplicity 1)  12 Zr 3.11-3.18
Zn  0.5000  0.5000  0.0000 (multiplicity 1)  12 Zr 3.08-3.11
Zn  0.5000  0.5000  0.2460 (multiplicity 2)  12 Zr 3.08-3.11


A relaxed Zr2TlZn crystal, computed with GGA-PBE.

Results
Fermi-level density of states: 0.82 states/eV/atom
calculated volume: 170 Å³/cell
ΔE_f: -0.07 eV per atom

Cell: 4.2067 4.2067 9.5817 Å, 90.00 90.00 90.00°
With the nearest neighbours (Å) after each atom.
Space group I-4m2 (No. 119)
Unique sites:
Zr  0.0000  0.0000  0.0000 (multiplicity 2)  4 Zn 2.97, 4 Zr 3.19, 4 Tl 3.19
Zr  0.0000  0.5000  0.2500 (multiplicity 2)  4 Tl 2.97, 4 Zr 3.19, 4 Zn 3.19
Tl  0.0000  0.5000  0.7500 (multiplicity 2)  8 Zr 2.97-3.19, 4 Zn 3.19
Zn  0.0000  0.0000  0.5000 (multiplicity 2)  8 Zr 2.97-3.19, 4 Tl 3.19


A relaxed ZrTl2Zn crystal, computed with GGA-PBE.

Results
Fermi-level density of states: 0.61 states/eV/atom
offset from the most stable computed form: 11.0 kJ/mol of atoms
calculated volume: 186 Å³/cell
ΔE_f: 0.12 eV per atom

Cell: 6.4061 10.1677 3.1908 Å, 90.00 116.75 90.00°
With the nearest neighbours (Å) after each atom.
Space group C2/m (No. 12)
Unique sites:
Zr  0.0000  0.0000  0.0000 (multiplicity 2)  4 Tl 3.04, 2 Zr 3.19, 4 Zn 3.20-3.35
Tl  0.2500  0.2500  0.5000 (multiplicity 4)  2 Zr 3.04, 2 Zn 3.04, 6 Tl 3.19-3.35
Zn  0.0000  0.5000  0.0000 (multiplicity 2)  4 Tl 3.04, 2 Zn 3.19, 4 Zr 3.20-3.35


A relaxed Zr2TlZn crystal, computed with GGA-PBE.

Results
Fermi-level density of states: 0.59 states/eV/atom
calculated volume: 174 Å³/cell
ΔE_f: -0.01 eV per atom

Cell: 10.2642 3.2014 5.4067 Å, 90.00 102.02 90.00°
With the nearest neighbours (Å) after each atom.
Space group C2/m (No. 12)
Unique sites:
Zr  0.2469  0.0000  0.2366 (multiplicity 4)  6 Zr 3.03-3.26, 3 Zn 3.04-3.13, 3 Tl 3.13-3.15
Tl  0.0000  0.0000  0.5000 (multiplicity 2)  6 Zr 3.13-3.15, 4 Zn 3.14, 2 Tl 3.20
Zn  0.0000  0.5000  0.0000 (multiplicity 2)  6 Zr 3.04-3.13, 4 Tl 3.14, 2 Zn 3.20


A relaxed ZrTl2Zn crystal, computed with GGA-PBE.

Results
Fermi-level density of states: 0.62 states/eV/atom
offset from the most stable computed form: 5.7 kJ/mol of atoms
calculated volume: 96 Å³/cell
ΔE_f: 0.06 eV per atom

Cell: 3.2811 3.2811 8.9064 Å, 90.00 90.00 90.00°
With the nearest neighbours (Å) after each atom.
Space group P4mm (No. 99)
Unique sites:
Zr  0.0000  0.0000  0.0000 (multiplicity 1)  4 Zn 2.88, 4 Tl 3.22
Tl  0.0000  0.0000  0.5566 (multiplicity 1)  4 Zn 3.23, 8 Tl 3.28-3.58
Tl  0.5000  0.5000  0.2507 (multiplicity 1)  4 Zr 3.22, 8 Tl 3.28-3.58
Zn  0.5000  0.5000  0.8092 (multiplicity 1)  4 Zr 2.88


A relaxed ZrTlZn crystal, computed with GGA-PBE.

Results
Fermi-level density of states: 0.71 states/eV/atom
offset from the most stable computed form: 22.5 kJ/mol of atoms
calculated volume: 272 Å³/cell
ΔE_f: 0.20 eV per atom

Cell: 3.0957 7.9913 11.0145 Å, 90.00 90.00 90.00°
With the nearest neighbours (Å) after each atom.
Space group I2_12_12_1 (No. 24)
Unique sites:
Zr  0.1288  0.0000  0.2500 (multiplicity 4)  2 Zn 2.78, 2 Tl 3.04, 2 Zr 3.10
Tl  0.2500  0.4307  0.0000 (multiplicity 4)  2 Zn 2.92, 2 Zr 3.04, 2 Tl 3.10
Zn  0.0000  0.2500  0.6085 (multiplicity 4)  2 Zr 2.78, 4 Zn 2.85-3.10, 2 Tl 2.92


A relaxed Zr4TlZn crystal, computed with GGA-PBE.

Results
Fermi-level density of states: 1.07 states/eV/atom
offset from the most stable computed form: 42.8 kJ/mol of atoms
calculated volume: 547 Å³/cell
ΔE_f: 0.33 eV per atom

Cell: 8.1798 8.1798 8.1798 Å, 90.00 90.00 90.00°
With the nearest neighbours (Å) after each atom.
Space group F-43m (No. 216)
Unique sites:
Zr  0.1254  0.1254  0.1254 (multiplicity 16)  6 Zr 2.88-2.90
Tl  0.2500  0.2500  0.7500 (multiplicity 4)  12 Zr 3.39, 4 Zn 3.54
Zn  0.0000  0.0000  0.5000 (multiplicity 4)  12 Zr 3.39, 4 Tl 3.54


A relaxed ZrTl2Zn crystal, computed with GGA-PBE.

Results
Fermi-level density of states: 0.63 states/eV/atom
offset from the most stable computed form: 13.8 kJ/mol of atoms
calculated volume: 89 Å³/cell
ΔE_f: 0.14 eV per atom

Cell: 3.5363 3.5363 7.1448 Å, 90.00 90.00 90.00°
With the nearest neighbours (Å) after each atom.
Space group P4/mmm (No. 123)
Unique sites:
Zr  0.0000  0.0000  0.0000 (multiplicity 1)  8 Tl 3.15
Tl  0.5000  0.5000  0.2692 (multiplicity 2)  4 Zn 3.00, 4 Zr 3.15, 1 Tl 3.30
Zn  0.0000  0.0000  0.5000 (multiplicity 1)  8 Tl 3.00


A relaxed ZrTl2Zn crystal, computed with GGA-PBE.

Results
Fermi-level density of states: 0.36 states/eV/atom
offset from the most stable computed form: 19.0 kJ/mol of atoms
calculated volume: 374 Å³/cell
ΔE_f: 0.20 eV per atom

Cell: 7.7982 7.7982 6.1460 Å, 90.00 90.00 90.00°
With the nearest neighbours (Å) after each atom.
Space group I-42d (No. 122)
Unique sites:
Zr  0.0000  0.0000  0.0000 (multiplicity 4)  4 Tl 3.03, 2 Zn 3.07
Tl  0.2191  0.2500  0.6250 (multiplicity 8)  2 Zn 2.70
Zn  0.0000  0.0000  0.5000 (multiplicity 4)  4 Tl 2.70


A relaxed Zr8Tl crystal, computed with GGA-PBE.

Results
Fermi-level density of states: 1.19 states/eV/atom
calculated volume: 416 Å³/cell
ΔE_f: -0.03 eV per atom

Cell: 9.7909 9.7909 4.3379 Å, 90.00 90.00 90.00°
With the nearest neighbours (Å) after each atom.
Space group I4/mmm (No. 139)
Unique sites:
Zr  0.0000  0.3345  0.0000 (multiplicity 8)  11 Zr 3.16-3.26, 1 Tl 3.27
Zr  0.1674  0.1674  0.5000 (multiplicity 8)  10 Zr 3.15-3.28, 2 Tl 3.17
Tl  0.0000  0.0000  0.0000 (multiplicity 2)  12 Zr 3.17-3.27


A relaxed ZrTl crystal, computed with GGA-PBE.

Results
Fermi-level density of states: 0.48 states/eV/atom
calculated volume: 187 Å³/cell
ΔE_f: -0.05 eV per atom

Cell: 4.3065 4.3065 10.0978 Å, 90.00 90.00 90.00°
With the nearest neighbours (Å) after each atom.
Space group I4_1/amd (No. 141, origin choice 2)
Unique sites:
Zr  0.0000  0.2500  0.3750 (multiplicity 4)  8 Tl 3.05-3.32, 4 Zr 3.32
Tl  0.0000  0.2500  0.8750 (multiplicity 4)  8 Zr 3.05-3.32, 4 Tl 3.32


A relaxed Zr4Tl crystal, computed with GGA-PBE.

Results
Fermi-level density of states: 1.11 states/eV/atom
offset from the most stable computed form: 16.4 kJ/mol of atoms
calculated volume: 497 Å³/cell
ΔE_f: 0.11 eV per atom

Cell: 6.0899 6.0899 13.3922 Å, 90.00 90.00 90.00°
With the nearest neighbours (Å) after each atom.
Space group I4_1/a (No. 88, origin choice 2)
Unique sites:
Zr  0.1302  0.0286  0.2029 (multiplicity 16)  2 Tl 2.97-3.01, 6 Zr 3.04-3.32
Tl  0.0000  0.2500  0.6250 (multiplicity 4)  8 Zr 2.97-3.01


A relaxed ZrTl3 crystal, computed with GGA-PBE.

Results
Fermi-level density of states: 0.45 states/eV/atom
calculated volume: 103 Å³/cell
ΔE_f: 0.10 eV per atom

Cell: 3.2355 5.5866 5.7007 Å, 90.00 90.00 90.00°
With the nearest neighbours (Å) after each atom.
Space group Pmm2 (No. 25)
Unique sites:
Zr  0.0000  0.0000  0.0000 (multiplicity 1)  2 Zr 3.24, 10 Tl 3.27-3.49
Tl  0.0000  0.5000  0.3660 (multiplicity 1)  10 Tl 3.19-3.36, 2 Zr 3.49
Tl  0.5000  0.0000  0.5021 (multiplicity 1)  8 Tl 3.24-3.54, 4 Zr 3.27-3.29
Tl  0.5000  0.5000  0.8829 (multiplicity 1)  8 Tl 3.19-3.54, 4 Zr 3.30


A relaxed ZrTl crystal, computed with GGA-PBE.

Results
Fermi-level density of states: 0.81 states/eV/atom
calculated volume: 100 Å³/cell
ΔE_f: 0.06 eV per atom

Cell: 3.3761 3.3761 10.1698 Å, 90.00 90.00 120.00°
With the nearest neighbours (Å) after each atom.
Space group P-3m1 (No. 164)
Unique sites:
Zr  0.3333  0.6667  0.1174 (multiplicity 2)  9 Zr 3.08-3.38, 3 Tl 3.22
Tl  0.3333  0.6667  0.6302 (multiplicity 2)  3 Zr 3.22, 9 Tl 3.29-3.38